The following is a DFT calculation (GGA-PBE) of a relaxed structure of RbTbAg3S4.

Lattice parameters (Å, degrees): 6.2191 7.5139 10.6992 90.00 103.24 90.00
Fractional coordinates of all 18 atoms:
S 0.3277 0.2500 0.5835
S 0.8792 0.9835 0.7894
S 0.4500 0.7500 0.9543
S 0.1208 0.4835 0.2106
S 0.1208 0.0165 0.2106
S 0.5500 0.2500 0.0457
S 0.8792 0.5165 0.7894
S 0.6723 0.7500 0.4165
Ag 0.7889 0.5548 0.0327
Ag 0.7889 0.9452 0.0327
Ag 0.9298 0.7500 0.2831
Ag 0.2111 0.4452 0.9673
Ag 0.0702 0.2500 0.7169
Ag 0.2111 0.0548 0.9673
Tb 0.3853 0.7500 0.1960
Tb 0.6147 0.2500 0.8040
Rb 0.2636 0.7500 0.6191
Rb 0.7364 0.2500 0.3809

Results
The space group is No. 11. The energy above the most stable polymorph in this dataset is 0.000 eV/atom.